DFT (PBE) results for a relaxed structure of Nd3Er2Tm4.

Calculated values
* total magnetization: 0.0 Bohr magnetons per cell
* polymorph energy (0 for the lowest one): 17 meV/atom
* V: 572.3 Å³ per cell
* space-group type: No. 15
* formation energy from the elements: 0.105 eV per atom

a = 6.0070 Å, b = 11.1784 Å, c = 11.1784 Å
α = 62.59°, β = 64.05°, γ = 64.05°
Atoms (fractional coordinates):
Nd1 0.7519 0.0599 0.2728
Nd2 0.7481 0.7272 0.9401
Nd3 0.2481 0.9401 0.7272
Nd4 0.2519 0.2728 0.0599
Nd5 0.2500 0.6069 0.3931
Nd6 0.7500 0.3931 0.6069
Er1 0.4225 0.2507 0.5146
Er2 0.0775 0.4854 0.7493
Er3 0.5775 0.7493 0.4854
Er4 0.9225 0.5146 0.2507
Tm1 0.4215 0.9178 0.1817
Tm2 0.0785 0.8183 0.0822
Tm3 0.5785 0.0822 0.8183
Tm4 0.9215 0.1817 0.9178
Tm5 0.0811 0.1503 0.4152
Tm6 0.4189 0.5848 0.8497
Tm7 0.9189 0.8497 0.5848
Tm8 0.5811 0.4152 0.1503